The following is a PBE calculation of MgCdSeO4 after structural relaxation, from the Alexandria database.

POSCAR file:
```
MgCdSeO4
1.0
-5.517 -3.201 2.903
0.259 -5.745 2.617
-0.744 -0.738 6.231
Cd Mg O Se
2 2 8 2
direct
0.000 0.000 0.500
0.500 0.000 0.500
0.000 0.500 0.500
0.000 0.000 0.000
0.199 0.247 0.747
0.722 0.313 0.243
0.192 0.753 0.253
0.278 0.687 0.757
0.801 0.753 0.253
0.722 0.743 0.813
0.808 0.247 0.747
0.278 0.257 0.187
0.594 0.656 0.156
0.406 0.344 0.844
```

Results
Uncorrected formation energy   -8.98 eV/f.u.
Magnetization   0.00 Bohr magnetons per cell
Crystal system   orthorhombic



The following is a PBE calculation of LiCuAuF6 after structural relaxation, from the Alexandria database.

POSCAR file:
```
LiCuAuF6
1.0
-3.585 -3.589 -0.952
4.756 -1.416 1.419
-2.661 0.231 9.151
F Au Li Cu
12 2 2 2
direct
0.015 0.348 0.135
0.667 0.015 0.865
0.652 0.667 0.135
0.015 0.667 0.365
0.985 0.333 0.635
0.985 0.652 0.865
0.333 0.985 0.135
0.348 0.333 0.865
0.652 0.985 0.365
0.348 0.015 0.635
0.667 0.652 0.635
0.333 0.348 0.365
0.000 0.000 0.000
0.000 0.000 0.500
0.333 0.667 0.750
0.667 0.333 0.250
0.667 0.333 0.750
0.333 0.667 0.250
```

Results
Uncorrected formation energy   -14.11 eV/f.u.
Magnetization   0.30 Bohr magnetons per cell
Crystal system   trigonal



The following is a PBE calculation of Na2Sr2Hg after structural relaxation, from the Alexandria database.

POSCAR file:
```
Na2Sr2Hg
1.0
8.194 0.000 0.000
0.000 8.194 0.000
0.000 0.000 5.755
Na Sr Hg
4 4 2
direct
0.137 0.363 0.000
0.637 0.137 0.000
0.863 0.637 0.000
0.363 0.863 0.000
0.819 0.319 0.500
0.681 0.819 0.500
0.319 0.181 0.500
0.181 0.681 0.500
0.500 0.500 0.000
0.000 0.000 0.000
```

Results
Electronic total energy   -1.32 eV per atom
Magnetization   0.00 Bohr magnetons per cell
Crystal system   tetragonal